[1]
8
Lattice="1.356 0.783 8.958 -1.356 0.783 8.958 0.000 -1.566 8.958" Properties=species:S:1:pos:R:3 comment="LiBeHO | Alexandria via LeMat-Bulk | PBE | optimized geometry" total_energy_ev_per_atom=-5.0188 crystal_system=trigonal total_magnetization_mub_per_cell=0.00 mass_density_g_cm3=1.919 pbc="T T T"
Li 0.000 0.000 0.000
Li 0.000 0.000 13.438
Be 0.000 0.000 6.465
Be 0.000 0.000 20.411
H 0.000 0.000 7.934
H 0.000 0.000 18.941
O 0.000 0.000 3.069
O 0.000 0.000 23.806

=====

[2]
10
Lattice="2.161 1.248 5.078 -2.161 1.248 5.078 0.000 -2.495 5.078" Properties=species:S:1:pos:R:3 comment="LiPmBe2H6 | Alexandria via LeMat-Bulk | PBE | optimized geometry" total_energy_ev_per_atom=-3.6727 crystal_system=trigonal total_magnetization_mub_per_cell=0.00 mass_density_g_cm3=3.558 pbc="T T T"
Li 0.000 0.000 0.000
Pm 0.000 0.000 7.617
Be 0.000 0.000 4.281
Be 0.000 0.000 10.953
H 0.000 -1.267 3.639
H -1.097 0.633 3.639
H -1.097 -0.633 11.595
H 1.097 0.633 3.639
H 1.097 -0.633 11.595
H 0.000 1.267 11.595